Entry 1:
Entry from Alexandria via LeMat-Bulk: a relaxed structure of RbNbAgN2 (PBE).

Summary:
Formation energy from raw total energies, eV/atom: 2.67
Volume, Å³ per atom: 19.41
Spin magnetization, μB/atom: 0.29
Symmetry: No. 123

Unit cell a=4.3562 b=5.1155 c=4.3562 alpha=90.00 beta=90.00 gamma=90.00
With the nearest neighbours (Å) after each atom.
Positions (direct):
Nb: 0.5000 0.5000 0.5000  4 Rb 3.08, 8 N 3.36
Rb: 0.0000 0.5000 0.0000  2 Ag 2.56
Ag: 0.0000 0.0000 0.0000  4 N 2.18
N: 0.0000 0.0000 0.5000  2 Ag 2.18
N: 0.5000 0.0000 0.0000  2 Ag 2.18

---

Entry 2:
Entry from Alexandria via LeMat-Bulk: a relaxed structure of NbAgRu2N (PBE).

Summary:
Formation energy from raw total energies, eV/atom: 3.17
Volume, Å³ per atom: 23.67
Spin magnetization, μB/atom: 0.67
Symmetry: No. 123

Unit cell a=4.8262 b=5.0812 c=4.8262 alpha=90.00 beta=90.00 gamma=90.00
With the nearest neighbours (Å) after each atom.
Positions (direct):
Ru: 0.0000 0.0000 0.5000  2 Ag 2.41
Ru: 0.5000 0.0000 0.0000  2 Ag 2.41
Nb: 0.0000 0.5000 0.0000  2 Ag 2.54
Ag: 0.0000 0.0000 0.0000  4 Ru 2.41, 2 Nb 2.54
N: 0.5000 0.5000 0.5000  4 Nb 3.41, 8 Ru 3.50

---

Entry 3:
Entry from Alexandria via LeMat-Bulk: a relaxed structure of NbAgSN2 (PBE).

Summary:
Formation energy from raw total energies, eV/atom: 1.74
ΔE to the lowest computed polymorph, eV per atom: 1.3709
Volume, Å³ per atom: 15.35
Spin magnetization, μB/atom: 0.07
Symmetry: No. 123

Unit cell a=4.0123 b=4.0123 c=4.7671 alpha=90.00 beta=90.00 gamma=90.00
With the nearest neighbours (Å) after each atom.
Positions (direct):
Nb: 0.5000 0.5000 0.5000  4 S 2.84, 8 N 3.12
S: 0.0000 0.0000 0.5000  2 Ag 2.38
Ag: 0.0000 0.0000 0.0000  4 N 2.01
N: 0.0000 0.5000 0.0000  2 Ag 2.01
N: 0.5000 0.0000 0.0000  2 Ag 2.01

---

Entry 4:
Entry from Alexandria via LeMat-Bulk: a relaxed structure of NbAgSN2 (PBE).

Summary:
Formation energy from raw total energies, eV/atom: 0.37
ΔE to the lowest computed polymorph, eV per atom: 0.0000
Volume, Å³ per atom: 16.83
Spin magnetization, μB/atom: 0.19
Symmetry: No. 123

Unit cell a=3.9867 b=3.9867 c=5.2940 alpha=90.00 beta=90.00 gamma=90.00
With the nearest neighbours (Å) after each atom.
Positions (direct):
Nb: 0.0000 0.0000 0.0000  4 N 1.99
S: 0.0000 0.0000 0.5000  2 Nb 2.65, 4 Ag 2.82
Ag: 0.5000 0.5000 0.5000  4 S 2.82
N: 0.0000 0.5000 0.0000  2 Nb 1.99
N: 0.5000 0.0000 0.0000  2 Nb 1.99

---

Entry 5:
Entry from Alexandria via LeMat-Bulk: a relaxed structure of Sc2NbAgN (PBE).

Summary:
Formation energy from raw total energies, eV/atom: -0.72
Volume, Å³ per atom: 16.74
Spin magnetization, μB/atom: 0.00
Symmetry: No. 123

Unit cell a=4.4175 b=4.4175 c=4.2898 alpha=90.00 beta=90.00 gamma=90.00
With the nearest neighbours (Å) after each atom.
Positions (direct):
Sc: 0.0000 0.5000 0.0000  2 N 2.21
Sc: 0.5000 0.0000 0.0000  2 N 2.21
Nb: 0.0000 0.0000 0.5000  2 N 2.14
Ag: 0.5000 0.5000 0.5000  8 Sc 3.08, 4 Nb 3.12
N: 0.0000 0.0000 0.0000  2 Nb 2.14, 4 Sc 2.21

---

Entry 6:
Entry from Alexandria via LeMat-Bulk: a relaxed structure of NbAgSe2N (PBE).

Summary:
Formation energy from raw total energies, eV/atom: 1.24
ΔE to the lowest computed polymorph, eV per atom: 1.1317
Volume, Å³ per atom: 20.62
Spin magnetization, μB/atom: 0.78
Symmetry: No. 123

Unit cell a=5.1658 b=5.1658 c=3.8634 alpha=90.00 beta=90.00 gamma=90.00
With the nearest neighbours (Å) after each atom.
Positions (direct):
Nb: 0.5000 0.5000 0.5000  8 Se 3.23
Se: 0.0000 0.5000 0.0000  2 Ag 2.58
Se: 0.5000 0.0000 0.0000  2 Ag 2.58
Ag: 0.0000 0.0000 0.0000  2 N 1.93
N: 0.0000 0.0000 0.5000  2 Ag 1.93

---

Entry 7:
Entry from Alexandria via LeMat-Bulk: a relaxed structure of NbAgSe2N (PBE).

Summary:
Formation energy from raw total energies, eV/atom: 0.10
ΔE to the lowest computed polymorph, eV per atom: 0.0000
Volume, Å³ per atom: 21.25
Spin magnetization, μB/atom: 0.12
Symmetry: No. 123

Unit cell a=5.2112 b=5.2112 c=3.9131 alpha=90.00 beta=90.00 gamma=90.00
With the nearest neighbours (Å) after each atom.
Positions (direct):
Nb: 0.0000 0.0000 0.0000  2 N 1.96
Se: 0.0000 0.5000 0.0000  2 Nb 2.61
Se: 0.5000 0.0000 0.0000  2 Nb 2.61
Ag: 0.5000 0.5000 0.5000  8 Se 3.26
N: 0.0000 0.0000 0.5000  2 Nb 1.96

---

Entry 8:
Entry from Alexandria via LeMat-Bulk: a relaxed structure of TiNbAgN2 (PBE).

Summary:
Formation energy from raw total energies, eV/atom: 2.05
Volume, Å³ per atom: 15.69
Spin magnetization, μB/atom: 0.00
Symmetry: No. 123

Unit cell a=4.0519 b=4.7784 c=4.0519 alpha=90.00 beta=90.00 gamma=90.00
With the nearest neighbours (Å) after each atom.
Positions (direct):
Nb: 0.5000 0.5000 0.5000  4 Ti 2.87, 8 N 3.13
N: 0.0000 0.0000 0.5000  2 Ag 2.03
N: 0.5000 0.0000 0.0000  2 Ag 2.03
Ag: 0.0000 0.0000 0.0000  4 N 2.03
Ti: 0.0000 0.5000 0.0000  2 Ag 2.39

---

Entry 9:
Entry from Alexandria via LeMat-Bulk: a relaxed structure of TiNb2AgN (PBE).

Summary:
Formation energy from raw total energies, eV/atom: -0.48
Volume, Å³ per atom: 15.26
Spin magnetization, μB/atom: 0.00
Symmetry: No. 123

Unit cell a=4.2955 b=4.2955 c=4.1362 alpha=90.00 beta=90.00 gamma=90.00
With the nearest neighbours (Å) after each atom.
Positions (direct):
Nb: 0.0000 0.5000 0.0000  2 N 2.15
Nb: 0.5000 0.0000 0.0000  2 N 2.15
N: 0.0000 0.0000 0.0000  2 Ti 2.07, 4 Nb 2.15
Ag: 0.5000 0.5000 0.5000  8 Nb 2.98, 4 Ti 3.04
Ti: 0.0000 0.0000 0.5000  2 N 2.07

---

Entry 10:
Entry from Alexandria via LeMat-Bulk: a relaxed structure of NbAg2WN (PBE).

Summary:
Formation energy from raw total energies, eV/atom: 0.78
Volume, Å³ per atom: 15.78
Spin magnetization, μB/atom: 0.01
Symmetry: No. 123

Unit cell a=4.4160 b=4.0472 c=4.4160 alpha=90.00 beta=90.00 gamma=90.00
With the nearest neighbours (Å) after each atom.
Positions (direct):
Nb: 0.5000 0.5000 0.5000  8 Ag 3.00, 4 W 3.12
Ag: 0.0000 0.0000 0.5000  2 N 2.21
Ag: 0.5000 0.0000 0.0000  2 N 2.21
W: 0.0000 0.5000 0.0000  2 N 2.02
N: 0.0000 0.0000 0.0000  2 W 2.02, 4 Ag 2.21

---

Entry 11:
Entry from Alexandria via LeMat-Bulk: a relaxed structure of Y2NbAgN (PBE).

Summary:
Formation energy from raw total energies, eV/atom: -0.60
Volume, Å³ per atom: 20.06
Spin magnetization, μB/atom: 0.23
Symmetry: No. 123

Unit cell a=4.8976 b=4.8976 c=4.1821 alpha=90.00 beta=90.00 gamma=90.00
With the nearest neighbours (Å) after each atom.
Positions (direct):
Y: 0.0000 0.5000 0.0000  2 N 2.45
Y: 0.5000 0.0000 0.0000  2 N 2.45
Nb: 0.0000 0.0000 0.5000  2 N 2.09
Ag: 0.5000 0.5000 0.5000  8 Y 3.22, 4 Nb 3.46
N: 0.0000 0.0000 0.0000  2 Nb 2.09

---

Entry 12:
Entry from Alexandria via LeMat-Bulk: a relaxed structure of ZrNb2AgN (PBE).

Summary:
Formation energy from raw total energies, eV/atom: -0.49
Volume, Å³ per atom: 16.54
Spin magnetization, μB/atom: 0.00
Symmetry: No. 123

Unit cell a=4.2536 b=4.2536 c=4.5697 alpha=90.00 beta=90.00 gamma=90.00
With the nearest neighbours (Å) after each atom.
Positions (direct):
Nb: 0.0000 0.5000 0.0000  2 N 2.13
Nb: 0.5000 0.0000 0.0000  2 N 2.13
Zr: 0.0000 0.0000 0.5000  2 N 2.28
Ag: 0.5000 0.5000 0.5000  4 Zr 3.01, 8 Nb 3.12
N: 0.0000 0.0000 0.0000  4 Nb 2.13, 2 Zr 2.28

---

Entry 13:
Entry from Alexandria via LeMat-Bulk: a relaxed structure of Zr2NbAgN (PBE).

Summary:
Formation energy from raw total energies, eV/atom: -0.62
Volume, Å³ per atom: 17.36
Spin magnetization, μB/atom: 0.00
Symmetry: No. 123

Unit cell a=4.5520 b=4.5520 c=4.1896 alpha=90.00 beta=90.00 gamma=90.00
With the nearest neighbours (Å) after each atom.
Positions (direct):
Nb: 0.0000 0.0000 0.5000  2 N 2.09
Zr: 0.0000 0.5000 0.0000  2 N 2.28
Zr: 0.5000 0.0000 0.0000  2 N 2.28
Ag: 0.5000 0.5000 0.5000  8 Zr 3.09, 4 Nb 3.22
N: 0.0000 0.0000 0.0000  2 Nb 2.09, 4 Zr 2.28

---

Entry 14:
Entry from Alexandria via LeMat-Bulk: a relaxed structure of Nd2AgN (PBE).

Summary:
Formation energy from raw total energies, eV/atom: -0.69
Volume, Å³ per atom: 22.39
Spin magnetization, μB/atom: 0.00
Symmetry: No. 160

Unit cell a=3.6581 b=3.6581 c=8.0118 alpha=76.80 beta=76.80 gamma=60.00
With the nearest neighbours (Å) after each atom.
Positions (direct):
Nd: 0.0606 0.0606 0.8182  3 N 2.54
Nd: 0.2726 0.2726 0.1822  3 N 2.54
Ag: 0.5003 0.5003 0.4990  6 Nd 3.23-3.25
N: 0.6664 0.6664 0.0007  6 Nd 2.54

---

Entry 15:
Entry from Alexandria via LeMat-Bulk: a relaxed structure of Nd6AgN3 (PBE).

Summary:
Formation energy from raw total energies, eV/atom: -0.76
Volume, Å³ per atom: 24.13
Spin magnetization, μB/atom: 0.05
Symmetry: No. 11

Unit cell a=3.6480 b=13.3717 c=11.4809 alpha=120.50 beta=90.00 gamma=90.00
With the nearest neighbours (Å) after each atom.
Positions (direct):
Nd: 0.7500 0.4231 0.6074  3 N 2.51-2.64
Nd: 0.2500 0.5769 0.3926  3 N 2.51-2.64
Nd: 0.7500 0.9237 0.0601  3 N 2.37-2.54
Nd: 0.2500 0.0763 0.9399  3 N 2.37-2.54
Nd: 0.7500 0.4187 0.0580  3 N 2.45-2.59
Nd: 0.2500 0.5813 0.9420  3 N 2.45-2.59
Nd: 0.7500 0.7124 0.2573  3 N 2.52-2.54
Nd: 0.2500 0.2876 0.7427  3 N 2.52-2.54
Nd: 0.7500 0.1181 0.4544  2 N 2.58
Nd: 0.2500 0.8819 0.5456  2 N 2.58
Nd: 0.7500 0.7678 0.7236  3 N 2.50-2.51
Nd: 0.2500 0.2322 0.2764  3 N 2.50-2.51
Ag: 0.7500 0.0907 0.7283  7 Nd 3.09-3.35
Ag: 0.2500 0.9093 0.2717  7 Nd 3.09-3.35
N: 0.7500 0.4401 0.8465  6 Nd 2.45-2.64
N: 0.2500 0.5599 0.1535  6 Nd 2.45-2.64
N: 0.7500 0.7268 0.4847  6 Nd 2.51-2.58
N: 0.2500 0.2732 0.5153  6 Nd 2.51-2.58
N: 0.7500 0.1198 0.1127  5 Nd 2.37-2.54
N: 0.2500 0.8802 0.8873  5 Nd 2.37-2.54

---

Entry 16:
Entry from Alexandria via LeMat-Bulk: a relaxed structure of Nd6Ag2N (PBE).

Summary:
Formation energy from raw total energies, eV/atom: -0.38
Volume, Å³ per atom: 28.31
Spin magnetization, μB/atom: 0.00
Symmetry: No. 14

Unit cell a=6.7667 b=7.3427 c=10.2562 alpha=90.00 beta=89.03 gamma=90.00
With the nearest neighbours (Å) after each atom.
Positions (direct):
Nd: 0.1127 0.0221 0.2604  1 N 2.57
Nd: 0.1760 0.2919 0.5489  1 N 2.51
Nd: 0.1942 0.3138 0.9513  1 N 2.54
Nd: 0.3058 0.8138 0.5487  1 N 2.54
Nd: 0.3240 0.7919 0.9511  1 N 2.51
Nd: 0.3873 0.5221 0.2396  1 N 2.57
Nd: 0.8873 0.9779 0.7396  1 N 2.57
Nd: 0.8240 0.7081 0.4511  1 N 2.51
Nd: 0.8058 0.6862 0.0487  1 N 2.54
Nd: 0.6942 0.1862 0.4513  1 N 2.54
Nd: 0.6760 0.2081 0.0489  1 N 2.51
Nd: 0.6127 0.4779 0.7604  1 N 2.57
Ag: 0.0524 0.5837 0.7493  6 Nd 3.03-3.18
Ag: 0.4476 0.0837 0.7507  6 Nd 3.03-3.18
Ag: 0.5524 0.9163 0.2493  6 Nd 3.03-3.18
Ag: 0.9476 0.4163 0.2507  6 Nd 3.03-3.18
N: 0.5000 0.5000 0.0000  6 Nd 2.51-2.57
N: 0.0000 0.0000 0.5000  6 Nd 2.51-2.57

---

Entry 17:
Entry from Alexandria via LeMat-Bulk: a relaxed structure of Nd2AgN (PBE).

Summary:
Formation energy from raw total energies, eV/atom: -0.66
Volume, Å³ per atom: 24.09
Spin magnetization, μB/atom: 0.00
Symmetry: No. 46

Unit cell a=5.1340 b=6.7928 c=6.7928 alpha=65.64 beta=67.80 gamma=67.80
With the nearest neighbours (Å) after each atom.
Positions (direct):
Nd: 0.4321 0.8635 0.2722  2 N 2.39-2.43
Nd: 0.5679 0.2278 0.6365  2 N 2.39-2.43
Nd: 0.8588 0.5920 0.6904  3 N 2.36-2.58
Nd: 0.1412 0.8096 0.9080  3 N 2.36-2.58
Ag: 0.8290 0.1929 0.1492  2 Ag 3.03, 5 Nd 3.14-3.24
Ag: 0.1710 0.3508 0.3071  2 Ag 3.03, 5 Nd 3.14-3.24
N: 0.3711 0.6107 0.6470  5 Nd 2.36-2.58
N: 0.6289 0.8530 0.8893  5 Nd 2.36-2.58

---

Entry 18:
Entry from Alexandria via LeMat-Bulk: a relaxed structure of Nd3AgN (PBE).

Summary:
Formation energy from raw total energies, eV/atom: -0.58
ΔE to the lowest computed polymorph, eV per atom: 0.0573
Volume, Å³ per atom: 25.12
Spin magnetization, μB/atom: 0.00
Symmetry: No. 221

Unit cell a=5.0080 b=5.0080 c=5.0080 alpha=90.00 beta=90.00 gamma=90.00
With the nearest neighbours (Å) after each atom.
Positions (direct):
Nd: 0.0000 0.5000 0.0000  2 N 2.50
Nd: 0.0000 0.0000 0.5000  2 N 2.50
Nd: 0.5000 0.0000 0.0000  2 N 2.50
Ag: 0.5000 0.5000 0.5000  12 Nd 3.54
N: 0.0000 0.0000 0.0000  6 Nd 2.50

---

Entry 19:
Entry from Alexandria via LeMat-Bulk: a relaxed structure of NdAgN (PBE).

Summary:
Formation energy from raw total energies, eV/atom: -0.14
Volume, Å³ per atom: 20.36
Spin magnetization, μB/atom: 0.02
Symmetry: No. 139

Unit cell a=3.7346 b=3.7346 c=9.1501 alpha=101.78 beta=101.78 gamma=90.00
With the nearest neighbours (Å) after each atom.
Positions (direct):
Nd: 0.0894 0.0894 0.1788  4 N 2.44
Nd: 0.9106 0.9106 0.8212  4 N 2.44
N: 0.0000 0.5000 0.0000  4 Nd 2.44, 4 N 2.64
N: 0.5000 0.0000 0.0000  4 Nd 2.44, 4 N 2.64
Ag: 0.7173 0.7173 0.4346  4 Ag 2.88
Ag: 0.2827 0.2827 0.5654  4 Ag 2.88

---

Entry 20:
Entry from Alexandria via LeMat-Bulk: a relaxed structure of Nd3AgN (PBE).

Summary:
Formation energy from raw total energies, eV/atom: -0.56
ΔE to the lowest computed polymorph, eV per atom: 0.0765
Volume, Å³ per atom: 24.76
Spin magnetization, μB/atom: 0.00
Symmetry: No. 14

Unit cell a=6.4129 b=9.5443 c=8.9492 alpha=115.29 beta=90.00 gamma=90.00
With the nearest neighbours (Å) after each atom.
Positions (direct):
Nd: 0.0788 0.6425 0.9338  3 N 2.55-2.70
Nd: 0.9212 0.3575 0.0662  3 N 2.55-2.70
Nd: 0.5788 0.8575 0.0662  3 N 2.55-2.70
Nd: 0.4212 0.1425 0.9338  3 N 2.55-2.70
Nd: 0.5883 0.4521 0.8055  2 N 2.44-2.55
Nd: 0.4117 0.5479 0.1945  2 N 2.44-2.55
Nd: 0.0883 0.0479 0.1945  2 N 2.44-2.55
Nd: 0.9117 0.9521 0.8055  2 N 2.44-2.55
Nd: 0.1203 0.2381 0.6519  1 N 2.41
Nd: 0.8797 0.7619 0.3481  1 N 2.41
Nd: 0.6203 0.2619 0.3481  1 N 2.41
Nd: 0.3797 0.7381 0.6519  1 N 2.41
Ag: 0.8377 0.5935 0.5903  1 Ag 2.77
Ag: 0.1623 0.4065 0.4097  1 Ag 2.77
Ag: 0.3377 0.9065 0.4097  1 Ag 2.77
Ag: 0.6623 0.0935 0.5903  1 Ag 2.77
N: 0.2533 0.3984 0.9245  6 Nd 2.41-2.70
N: 0.7467 0.6016 0.0755  6 Nd 2.41-2.70
N: 0.7533 0.1016 0.0755  6 Nd 2.41-2.70
N: 0.2467 0.8984 0.9245  6 Nd 2.41-2.70

---

Entry 21:
Entry from Alexandria via LeMat-Bulk: a relaxed structure of Nd3AgN (PBE).

Summary:
Formation energy from raw total energies, eV/atom: -0.64
ΔE to the lowest computed polymorph, eV per atom: 0.0000
Volume, Å³ per atom: 24.78
Spin magnetization, μB/atom: 0.00
Symmetry: No. 63

Unit cell a=3.7118 b=7.0020 c=9.8898 alpha=90.00 beta=90.00 gamma=105.37
With the nearest neighbours (Å) after each atom.
Positions (direct):
Nd: 0.0544 0.1089 0.7500  2 N 2.58
Nd: 0.9456 0.8911 0.2500  2 N 2.58
Nd: 0.3790 0.7579 0.5552  2 N 2.53
Nd: 0.6210 0.2421 0.4448  2 N 2.53
Nd: 0.6210 0.2421 0.0552  2 N 2.53
Nd: 0.3790 0.7579 0.9448  2 N 2.53
Ag: 0.2514 0.5028 0.2500  8 Nd 3.20-3.48
Ag: 0.7486 0.4972 0.7500  8 Nd 3.20-3.48
N: 0.0000 0.0000 0.5000  6 Nd 2.53-2.58
N: 0.0000 0.0000 0.0000  6 Nd 2.53-2.58

---

Entry 22:
Entry from Alexandria via LeMat-Bulk: a relaxed structure of Nd2AgN (PBE).

Summary:
Formation energy from raw total energies, eV/atom: -0.68
Volume, Å³ per atom: 22.59
Spin magnetization, μB/atom: 0.00
Symmetry: No. 166

Unit cell a=3.6785 b=3.6785 c=8.0032 alpha=89.92 beta=103.34 gamma=120.07
With the nearest neighbours (Å) after each atom.
Positions (direct):
Nd: 0.5455 0.2730 0.8185  3 N 2.54
Nd: 0.4545 0.7270 0.1815  3 N 2.54
Ag: 0.0000 0.5000 0.5000  6 Nd 3.25
N: 0.0000 0.0000 0.0000  6 Nd 2.54